Entry 1:
# CdNiAu2, relaxed, DFT PBE
# Energy of formation = -0.1 kcal/mol of atoms
data_CdNiAu2
_chemical_formula_sum 'Cd1 Ni1 Au2'
_cell_length_a 2.982
_cell_length_b 2.982
_cell_length_c 7.567
_cell_angle_alpha 90.00
_cell_angle_beta 90.00
_cell_angle_gamma 90.00
_symmetry_space_group_name_H-M 'P 4 m m'
_symmetry_Int_Tables_number 99
loop_
_symmetry_equiv_pos_as_xyz
'x,y,z'
'-y,x,z'
'-x,-y,z'
'y,-x,z'
'-x,y,z'
'y,x,z'
'x,-y,z'
'-y,-x,z'
loop_
_atom_site_label
_atom_site_fract_x
_atom_site_fract_y
_atom_site_fract_z
Cd1 0.000 0.000 0.000
Ni1 0.500 0.500 0.229
Au1 0.000 0.000 0.444
Au2 0.500 0.500 0.719

=====

Entry 2:
# LaPrBN2, relaxed, DFT PBE
# Formation energy from raw total energies = -0.87 eV/atom
data_LaPrBN2
_chemical_formula_sum 'La2 Pr2 B2 N4'
_cell_length_a 5.935
_cell_length_b 4.217
_cell_length_c 7.663
_cell_angle_alpha 90.00
_cell_angle_beta 105.47
_cell_angle_gamma 90.00
_symmetry_space_group_name_H-M 'P 1 2/c 1'
_symmetry_Int_Tables_number 13
loop_
_symmetry_equiv_pos_as_xyz
'x,y,z'
'-x,-y,-z'
'-x,y,-z+1/2'
'x,-y,z+1/2'
loop_
_atom_site_label
_atom_site_fract_x
_atom_site_fract_y
_atom_site_fract_z
La1 0.000 0.002 0.250
Pr1 0.500 0.499 0.750
B1 0.500 0.000 0.000
N1 0.301 0.001 0.062

=====

Entry 3:
# Tb5TlIr4, relaxed, DFT PBE
# Energy of formation = -16.1 kcal/mol of atoms
data_Tb5TlIr4
_chemical_formula_sum 'Tb5 Tl1 Ir4'
_cell_length_a 3.515
_cell_length_b 3.515
_cell_length_c 17.714
_cell_angle_alpha 90.00
_cell_angle_beta 90.00
_cell_angle_gamma 90.00
_symmetry_space_group_name_H-M 'P 4/m m m'
_symmetry_Int_Tables_number 123
_symmetry_space_group_name_Hall '-P 4 2'
loop_
_atom_site_label
_atom_site_fract_x
_atom_site_fract_y
_atom_site_fract_z
Tb1 0.000 0.000 0.000
Tb2 0.000 0.000 0.188
Tb3 0.000 0.000 0.375
Tl1 0.500 0.500 0.500
Ir1 0.500 0.500 0.095
Ir2 0.500 0.500 0.286

=====

Entry 4:
# In2WAu2, relaxed, DFT PBE
# Energy of formation = 12.8 kcal/mol of atoms
# Energy above the lowest structure with this stoichiometry = 0.0000 eV/atom
data_In2WAu2
_chemical_formula_sum 'In4 W2 Au4'
_cell_length_a 7.911
_cell_length_b 7.911
_cell_length_c 3.113
_cell_angle_alpha 90.00
_cell_angle_beta 90.00
_cell_angle_gamma 90.00
_symmetry_space_group_name_H-M 'P 4/m b m'
_symmetry_Int_Tables_number 127
_symmetry_space_group_name_Hall '-P 4 2ab'
loop_
_atom_site_label
_atom_site_fract_x
_atom_site_fract_y
_atom_site_fract_z
In1 0.145 0.355 0.000
W1 0.000 0.000 0.000
Au1 0.155 0.655 0.500

=====

Entry 5:
# TlCr2, relaxed, DFT PBE
# Energy of formation = 13.5 kcal/mol of atoms
# Energy above the lowest structure with this stoichiometry = 0.1434 eV/atom
data_TlCr2
_chemical_formula_sum 'Tl4 Cr8'
_cell_length_a 5.901
_cell_length_b 4.274
_cell_length_c 8.351
_cell_angle_alpha 90.00
_cell_angle_beta 90.00
_cell_angle_gamma 90.00
_symmetry_space_group_name_H-M 'P n m a'
_symmetry_Int_Tables_number 62
loop_
_symmetry_equiv_pos_as_xyz
'x,y,z'
'-x,-y,-z'
'-x+1/2,-y,z+1/2'
'x+1/2,y,-z+1/2'
'x+1/2,-y+1/2,-z+1/2'
'-x+1/2,y+1/2,z+1/2'
'-x,y+1/2,-z'
'x,-y+1/2,z'
loop_
_atom_site_label
_atom_site_fract_x
_atom_site_fract_y
_atom_site_fract_z
Tl1 0.158 0.250 0.090
Cr1 0.050 0.250 0.719
Cr2 0.144 0.250 0.422

=====

Entry 6:
# Ce2YScSe6, relaxed, DFT PBE
# Formation energy from raw total energies = -1.75 eV/atom
data_Ce2YScSe6
_chemical_formula_sum 'Ce6 Y3 Sc3 Se18'
_cell_length_a 7.2752
_cell_length_b 7.2752
_cell_length_c 19.1511
_cell_angle_alpha 90.00
_cell_angle_beta 90.00
_cell_angle_gamma 120.00
_symmetry_space_group_name_H-M 'R 3'
_symmetry_Int_Tables_number 146
_symmetry_space_group_name_Hall 'R 3'
loop_
_atom_site_label
_atom_site_fract_x
_atom_site_fract_y
_atom_site_fract_z
Ce1 0.0000 0.0000 0.0000
Ce2 0.0000 0.0000 0.4984
Y1 0.0000 0.0000 0.2974
Sc1 0.0000 0.0000 0.7999
Se1 0.0078 0.3800 0.0600
Se2 0.0265 0.6401 0.5569

=====

Entry 7:
# TbTm4Ga, relaxed, DFT PBE
# Energy of formation = -2.5 kcal/mol of atoms
data_TbTm4Ga
_chemical_formula_sum 'Tb1 Tm4 Ga1'
_cell_length_a 3.538
_cell_length_b 4.795
_cell_length_c 9.964
_cell_angle_alpha 90.00
_cell_angle_beta 97.06
_cell_angle_gamma 90.00
_symmetry_space_group_name_H-M 'P 1 m 1'
_symmetry_Int_Tables_number 6
loop_
_symmetry_equiv_pos_as_xyz
'x,y,z'
'x,-y,z'
loop_
_atom_site_label
_atom_site_fract_x
_atom_site_fract_y
_atom_site_fract_z
Tb1 0.000 0.000 0.000
Tm1 0.125 0.000 0.352
Tm2 0.437 0.500 0.816
Tm3 0.563 0.500 0.184
Tm4 0.875 0.000 0.648
Ga1 0.498 0.500 0.500

=====

Entry 8:
# La2Mn2Ru, relaxed, DFT PBE
# Energy of formation = 6.6 kcal/mol of atoms
data_La2Mn2Ru
_chemical_formula_sum 'La4 Mn4 Ru2'
_cell_length_a 6.508
_cell_length_b 6.508
_cell_length_c 4.759
_cell_angle_alpha 90.00
_cell_angle_beta 90.00
_cell_angle_gamma 90.00
_symmetry_space_group_name_H-M 'P 4/m b m'
_symmetry_Int_Tables_number 127
_symmetry_space_group_name_Hall '-P 4 2ab'
loop_
_atom_site_label
_atom_site_fract_x
_atom_site_fract_y
_atom_site_fract_z
La1 0.186 0.314 0.000
Mn1 0.113 0.613 0.500
Ru1 0.000 0.000 0.500

=====

Entry 9:
# Ba2TaIn, relaxed, DFT PBE
# Energy of formation = 16.6 kcal/mol of atoms
# Energy above the lowest structure with this stoichiometry = 0.2702 eV/atom
data_Ba2TaIn
_chemical_formula_sum 'Ba4 Ta2 In2'
_cell_length_a 5.691
_cell_length_b 5.691
_cell_length_c 8.068
_cell_angle_alpha 90.00
_cell_angle_beta 90.00
_cell_angle_gamma 90.00
_symmetry_space_group_name_H-M 'I -4 m 2'
_symmetry_Int_Tables_number 119
_symmetry_space_group_name_Hall 'I -4 -2'
loop_
_atom_site_label
_atom_site_fract_x
_atom_site_fract_y
_atom_site_fract_z
Ba1 0.000 0.000 0.000
Ba2 0.000 0.500 0.250
Ta1 0.000 0.000 0.500
In1 0.000 0.500 0.750

=====

Entry 10:
# MoIrRu2, relaxed, DFT PBE
# Energy of formation = -0.8 kcal/mol of atoms
# Energy above the lowest structure with this stoichiometry = 0.1318 eV/atom
data_MoIrRu2
_chemical_formula_sum 'Mo2 Ir2 Ru4'
_cell_length_a 5.497
_cell_length_b 7.677
_cell_length_c 2.749
_cell_angle_alpha 90.00
_cell_angle_beta 90.00
_cell_angle_gamma 90.00
_symmetry_space_group_name_H-M 'C m m m'
_symmetry_Int_Tables_number 65
_symmetry_space_group_name_Hall '-C 2 2'
loop_
_atom_site_label
_atom_site_fract_x
_atom_site_fract_y
_atom_site_fract_z
Mo1 0.000 0.000 0.000
Ir1 0.000 0.500 0.000
Ru1 0.250 0.250 0.500

=====

Entry 11:
# Dy12Y3In, relaxed, DFT PBE
# Energy of formation = -1.0 kcal/mol of atoms
data_Dy12Y3In
_chemical_formula_sum 'Dy12 Y3 In1'
_cell_length_a 4.956
_cell_length_b 4.956
_cell_length_c 20.141
_cell_angle_alpha 90.00
_cell_angle_beta 90.00
_cell_angle_gamma 90.00
_symmetry_space_group_name_H-M 'P 4/m m m'
_symmetry_Int_Tables_number 123
_symmetry_space_group_name_Hall '-P 4 2'
loop_
_atom_site_label
_atom_site_fract_x
_atom_site_fract_y
_atom_site_fract_z
Dy1 0.000 0.000 0.000
Dy2 0.000 0.000 0.245
Dy3 0.000 0.000 0.500
Dy4 0.000 0.500 0.120
Dy5 0.000 0.500 0.373
Y1 0.500 0.500 0.248
Y2 0.500 0.500 0.500
In1 0.500 0.500 0.000

=====

Entry 12:
# LaFeSe2, relaxed, DFT PBE
# Formation energy from raw total energies = -0.89 eV/atom
# Energy above the lowest structure with this stoichiometry = 0.1248 eV/atom
data_LaFeSe2
_chemical_formula_sum 'La1 Fe1 Se2'
_cell_length_a 3.860
_cell_length_b 3.704
_cell_length_c 6.743
_cell_angle_alpha 90.00
_cell_angle_beta 90.15
_cell_angle_gamma 90.00
_symmetry_space_group_name_H-M 'P 1 2/m 1'
_symmetry_Int_Tables_number 10
loop_
_symmetry_equiv_pos_as_xyz
'x,y,z'
'-x,-y,-z'
'-x,y,-z'
'x,-y,z'
loop_
_atom_site_label
_atom_site_fract_x
_atom_site_fract_y
_atom_site_fract_z
La1 0.000 0.000 0.000
Fe1 0.500 0.000 0.500
Se1 0.499 0.500 0.753

=====

| no. | M_tot (μB/atom) |
| --- | --- |
| 1 | 0.0000 |
| 2 | 0.0006 |
| 3 | 0.0002 |
| 4 | 0.0000 |
| 5 | 0.0230 |
| 6 | 0.2017 |
| 7 | 0.0000 |
| 8 | 0.3809 |
| 9 | 0.9628 |
| 10 | 0.0000 |
| 11 | 0.0000 |
| 12 | 0.7894 |